Ta6VH | PBE | optimized geometry

Geometry as extended XYZ:
```
8
Lattice="-3.983 1.413 -2.101 -3.059 -4.114 -1.787 -2.574 -0.746 4.692" Properties=species:S:1:pos:R:3 pbc="T T T"
Ta -7.641 -3.227 -0.318
Ta -6.242 -3.297 2.101
Ta -3.375 -0.150 -1.297
Ta -6.244 -1.460 -2.042
Ta -3.373 -1.987 2.847
Ta -1.976 -0.220 1.123
H 0.000 0.000 0.000
V -4.809 -1.723 0.402
```

Values from the calculation:
Total DFT energy (no corrections): -10.432 eV per atom
M_tot: 0.00 Bohr magnetons per cell
Space-group type: P-1

TaV5H6 | PBE | optimized geometry

Geometry as extended XYZ:
```
12
Lattice="-0.372 4.052 2.928 -4.464 1.153 0.074 -2.840 -2.002 3.528" Properties=species:S:1:pos:R:3 pbc="T T T"
V -2.821 0.891 3.818
V -4.867 -0.556 2.388
V -4.854 2.312 2.713
V -2.418 2.602 1.501
V -2.437 -0.293 1.214
Ta 0.000 0.000 0.000
H -3.604 1.033 2.012
H -6.029 0.791 3.159
H -3.600 3.856 2.221
H -1.235 1.349 0.782
H -4.072 2.170 4.518
H -1.647 2.413 3.372
```

Values from the calculation:
Total DFT energy (no corrections): -6.606 eV per atom
M_tot: 0.00 Bohr magnetons per cell
Space-group type: C2/m